Here is CoW2Br at its PBEsol-relaxed geometry from Alexandria via LeMat-Bulk. Energies are from meta-GGA SCAN.

The space group is P4/mmm (No. 123) and the conventional cell measures 2.9382, 2.9382 and 6.6808 Å, with angles of 90.00, 90.00 and 90.00 degrees. The asymmetric unit holds Co at (0.0000, 0.0000, 0.0000), W at (0.5000, 0.5000, 0.2273) and Br at (0.0000, 0.0000, 0.5000).

The spin magnetization is 1.799 μB per cell. The total energy comes out at -43.0996 eV per atom. The value obtained for the polymorph energy (0 for the lowest one) is 0.294 eV per atom. For the formation energy without anion corrections, the calculation gives 0.94 eV per atom.

---

Here is CoW2Br at its PBEsol-relaxed geometry from Alexandria via LeMat-Bulk. Energies are from meta-GGA SCAN.

The space group is P4/mmm (No. 123) and the conventional cell measures 4.4840, 4.4840 and 2.8144 Å, with angles of 90.00, 90.00 and 90.00 degrees. The asymmetric unit holds Co at (0.0000, 0.0000, 0.0000), W at (0.0000, 0.5000, 0.5000) and Br at (0.5000, 0.5000, 0.0000).

The spin magnetization is 0.000 μB per cell. The total energy comes out at -42.8392 eV per atom. The value obtained for the polymorph energy (0 for the lowest one) is 0.555 eV per atom. For the formation energy without anion corrections, the calculation gives 1.20 eV per atom.

---

Q: Look up the polymorph energy (0 for the lowest one) of the first one.
A: 0.294 eV per atom